LiCu2Sb | PBE | optimized geometry

Unit cell a=3.4086 b=3.4086 c=5.5120 alpha=90.00 beta=90.00 gamma=90.00
Fractional positions:
Li (0.0000, 0.0000, 0.0000)
Cu (0.5000, 0.5000, 0.2333)
Cu (0.5000, 0.5000, 0.7667)
Sb (0.0000, 0.0000, 0.5000)

Output
Space group: No. 123
Electronic total energy: -3.54 eV/atom


Li2CuSb2 | PBE | optimized geometry

Unit cell a=7.2875 b=7.2875 c=7.2875 alpha=146.33 beta=146.33 gamma=48.36
Fractional positions:
Li (0.0988, 0.0988, 0.0000)
Li (0.9012, 0.9012, 0.0000)
Cu (0.5000, 0.5000, 0.0000)
Sb (0.2500, 0.7500, 0.5000)
Sb (0.7500, 0.2500, 0.5000)

Output
Space group: No. 139
E above lowest polymorph: 46.8 kJ/mol of atoms


| no. | Fermi-level density of states (states/eV/f.u.) |
| --- | --- |
| 1 | 1.60 |
| 2 | 3.05 |